(1)
A relaxed ZnCrMo2 crystal, computed with GGA-PBE.

Properties
V   14.614 Å³ per atom
Energy relative to the elements   0.30 eV per atom
Energy   -7.84 eV per atom
Crystal system   orthorhombic

Lattice parameters (Å, degrees): 2.573 4.233 5.367 90.00 90.00 90.00
Space group Pmm2 (No. 25)
Symmetry-distinct sites (fractional):
1 Zn 0.000 0.000 0.000 x1
2 Cr 0.500 0.500 0.237 x1
3 Mo 0.000 0.000 0.489 x1
4 Mo 0.500 0.500 0.753 x1

(2)
A relaxed CeRe2Si2P crystal, computed with GGA-PBE.

Properties
V   17.819 Å³ per atom
Energy   -8.06 eV per atom
Uncorrected formation energy   -0.211 eV/atom
Crystal system   tetragonal

Lattice parameters (Å, degrees): 4.451 4.451 5.396 90.00 90.00 90.00
Space group P4/mmm (No. 123)
Symmetry-distinct sites (fractional):
1 Ce 0.000 0.000 0.000 x1
2 Re 0.000 0.500 0.500 x2
3 Si 0.500 0.500 0.223 x2
4 P 0.000 0.000 0.500 x1

Per-record M_tot, μB per formula unit: 0.00 0.40